# 1
# GGA-PBE Na2Mn2Ag, optimized geometry
# Space-group type: I4/mmm
# Energy of formation, eV/atom: 0.548
# Distance to the lowest polymorph of the same formula, meV per atom: 0.0
data_Na2Mn2Ag
_chemical_formula_sum 'Na2 Mn2 Ag1'
_symmetry_space_group_name_H-M 'P 1'
_symmetry_Int_Tables_number 1
_cell_length_a 3.100
_cell_length_b 3.100
_cell_length_c 10.277
_cell_angle_alpha 81.33
_cell_angle_beta 81.33
_cell_angle_gamma 90.00
loop_
_symmetry_equiv_pos_as_xyz
'x,y,z'
loop_
_atom_site_label
_atom_site_type_symbol
_atom_site_fract_x
_atom_site_fract_y
_atom_site_fract_z
Na1 Na 0.385 0.385 0.230
Na2 Na 0.615 0.615 0.770
Mn1 Mn 0.750 0.250 0.500
Mn2 Mn 0.250 0.750 0.500
Ag1 Ag 0.000 0.000 0.000


# 2
# GGA-PBE Dy2YInC, optimized geometry
# Space-group type: P4/mmm
# Energy of formation, eV/atom: -0.514
data_Dy2YInC
_chemical_formula_sum 'Dy2 Y1 In1 C1'
_symmetry_space_group_name_H-M 'P 1'
_symmetry_Int_Tables_number 1
_cell_length_a 4.928
_cell_length_b 4.927
_cell_length_c 4.927
_cell_angle_alpha 90.00
_cell_angle_beta 90.00
_cell_angle_gamma 90.00
loop_
_symmetry_equiv_pos_as_xyz
'x,y,z'
loop_
_atom_site_label
_atom_site_type_symbol
_atom_site_fract_x
_atom_site_fract_y
_atom_site_fract_z
Dy1 Dy 0.000 0.000 0.500
Dy2 Dy 0.000 0.500 0.000
Y1 Y 0.500 0.000 0.000
In1 In 0.500 0.500 0.500
C1 C 0.000 0.000 0.000